NaSr2Ge2 | GGA-PBE | relaxed

- Formation enthalpy at 0 K: -42 kJ/mol of atoms
- Energy above the lowest structure with this stoichiometry: 0 meV/atom
- Fermi-level density of states: 1.94 states/eV/f.u.

a = 8.188 Å, b = 8.188 Å, c = 4.542 Å
α = 90.00°, β = 90.00°, γ = 90.00°
Space group P4/mbm (No. 127)
Symmetry-distinct sites (fractional):
Na1 0.000 0.000 0.000 [2 per cell]
Sr1 0.176 0.324 0.500 [4 per cell]
Ge1 0.111 0.611 0.000 [4 per cell]